1.
The following is a GGA-PBE calculation of an optimized crystal structure of Y2CoCu, from the Alexandria database.

Lattice parameters (Å, degrees): 4.7243 4.7243 4.7243 60.00 60.00 60.00
With the nearest neighbours (Å) after each atom.
Positions (direct):
1 Y 0.0000 0.0000 0.0000  4 Co 2.89, 4 Y 2.89
2 Y 0.2500 0.2500 0.2500  4 Cu 2.89, 4 Y 2.89
3 Co 0.7500 0.7500 0.7500  4 Cu 2.89, 4 Y 2.89
4 Cu 0.5000 0.5000 0.5000  4 Co 2.89, 4 Y 2.89

Properties
Formation energy: 0.212 eV per atom
Size of the total moment: 0.51 μB per formula unit
Electronic total energy: -23.28 eV/cell

=====

2.
The following is a GGA-PBE calculation of an optimized crystal structure of Y3CoCu2, from the Alexandria database.

Lattice parameters (Å, degrees): 11.2848 4.0311 11.4277 90.00 90.00 90.00
With the nearest neighbours (Å) after each atom.
Positions (direct):
1 Y 0.0493 0.2500 0.1259  1 Co 2.88, 5 Cu 2.95-3.07
2 Y 0.1201 0.7500 0.5512  3 Co 2.88-2.91, 5 Cu 2.97-2.99
3 Y 0.2265 0.2500 0.7933  2 Co 2.78, 4 Cu 2.94-3.06
4 Y 0.2735 0.7500 0.2933  2 Co 2.78, 4 Cu 2.94-3.06
5 Y 0.3799 0.2500 0.0512  3 Co 2.88-2.91, 5 Cu 2.97-2.99
6 Y 0.4507 0.7500 0.6259  1 Co 2.88, 5 Cu 2.95-3.07
7 Y 0.5493 0.2500 0.3741  1 Co 2.88, 5 Cu 2.95-3.07
8 Y 0.6201 0.7500 0.9488  3 Co 2.88-2.91, 5 Cu 2.97-2.99
9 Y 0.7265 0.2500 0.7067  2 Co 2.78, 4 Cu 2.94-3.06
10 Y 0.7735 0.7500 0.2067  2 Co 2.78, 4 Cu 2.94-3.06
11 Y 0.8799 0.2500 0.4488  3 Co 2.88-2.91, 5 Cu 2.97-2.99
12 Y 0.9507 0.7500 0.8741  1 Co 2.88, 5 Cu 2.95-3.07
13 Co 0.1215 0.2500 0.3680  3 Cu 2.44-2.51
14 Co 0.3785 0.7500 0.8680  3 Cu 2.44-2.51
15 Co 0.6215 0.2500 0.1320  3 Cu 2.44-2.51
16 Co 0.8785 0.7500 0.6320  3 Cu 2.44-2.51
17 Cu 0.0135 0.7500 0.3114  2 Co 2.44
18 Cu 0.1952 0.7500 0.9923  1 Co 2.51
19 Cu 0.3048 0.2500 0.4923  1 Co 2.51
20 Cu 0.4865 0.2500 0.8114  2 Co 2.44
21 Cu 0.5135 0.7500 0.1886  2 Co 2.44
22 Cu 0.6952 0.7500 0.5077  1 Co 2.51
23 Cu 0.8048 0.2500 0.0077  1 Co 2.51
24 Cu 0.9865 0.2500 0.6886  2 Co 2.44

Properties
Formation energy: -0.210 eV per atom
Size of the total moment: 0.00 μB per formula unit
Electronic total energy: -143.81 eV/cell